The following is a DFT calculation (GGA-PBEsol) of Ta2CdAu after structural relaxation.

Calculated values
The density of states at the Fermi level comes out at 3.47 states/eV/cell. Its formation energy is 109 meV per atom. The value obtained for the total energy is -7.447 eV per atom. The calculation puts the magnetic moment at 0.0 μB per cell. As for the space group: Immm, No. 71.

Unit cell a=3.914 b=3.999 c=5.271 alpha=112.30 beta=111.80 gamma=90.00
Fractional positions:
Au  0.500  0.000  0.000
Cd  0.000  0.500  0.000
Ta  0.751  0.751  0.502
Ta  0.249  0.249  0.498